The following is a DFT calculation (PBE) of Li3Pa2AgSe6 after structural relaxation.

VASP energy = -5.194 eV/atom
raw formation energy = -1.1527 eV/atom
density of states at the Fermi level = 9.3 states/eV per cell
total moment = 2.02 μB/f.u.
crystal system = monoclinic

Unit cell a=8.9717 b=8.9717 c=8.0513 alpha=104.89 beta=104.89 gamma=26.09
Fractional coordinates of all 12 atoms:
Li 0.0000 0.0000 0.0000
Li 0.3375 0.3375 0.6773
Li 0.6625 0.6625 0.3227
Pa 0.3448 0.3448 0.1909
Pa 0.6552 0.6552 0.8091
Ag 0.0000 0.0000 0.5000
Se 0.1707 0.1707 0.0752
Se 0.1717 0.1717 0.5728
Se 0.4953 0.4953 0.7583
Se 0.5047 0.5047 0.2417
Se 0.8283 0.8283 0.4272
Se 0.8293 0.8293 0.9248